A relaxed PmNi2Sb crystal. Source: Alexandria, functional GGA-PBE.

Properties
- Density of states at the Fermi level: 0.57 states/eV/atom
- Raw formation energy: -0.275 eV/atom

abc: 3.691 4.478 4.478
angles: 90.00 90.00 90.00
Atoms (fractional coordinates):
Pm: 0.500 0.500 0.500
Ni: 0.000 0.000 0.500
Ni: 0.000 0.500 0.000
Sb: 0.500 0.000 0.000

---

A relaxed CeTm2Pb3 crystal. Source: Alexandria, functional GGA-PBE.

Properties
- Density of states at the Fermi level: 1.68 states/eV/atom
- Distance to the lowest polymorph of the same formula: 40.6 meV/atom
- DFT formation energy: -36.42 kJ/mol of atoms

abc: 3.549 3.549 13.447
angles: 90.00 90.00 90.00
Last column: magnetic moment on the atom in μB.
Atoms (fractional coordinates):
Ce: 0.500 0.500 0.500  1.06
Tm: 0.500 0.500 0.164  -0.03
Tm: 0.500 0.500 0.836  -0.03
Pb: 0.000 0.000 0.325  -0.01
Pb: 0.000 0.000 0.000  0.00
Pb: 0.000 0.000 0.675  -0.01

---

A relaxed Tb3CdIr8 crystal. Source: Alexandria, functional GGA-PBE.

Properties
- Density of states at the Fermi level: 1.10 states/eV/atom
- DFT formation energy: -56.90 kJ/mol of atoms

abc: 5.346 5.346 9.271
angles: 73.24 73.24 60.00
Atoms (fractional coordinates):
Ir: 0.938 0.437 0.687
Ir: 0.437 0.939 0.187
Ir: 0.939 0.437 0.187
Ir: 0.437 0.938 0.687
Ir: 0.688 0.688 0.937
Ir: 0.437 0.437 0.187
Ir: 0.188 0.188 0.437
Ir: 0.938 0.938 0.687
Tb: 0.376 0.376 0.873
Tb: 0.503 0.503 0.490
Tb: 0.996 0.996 0.012
Cd: 0.873 0.873 0.380

---

A relaxed Ca2ReAgSb crystal. Source: Alexandria, functional GGA-PBE.

Properties
- Density of states at the Fermi level: 0.95 states/eV/atom
- Raw formation energy: 0.736 eV/atom

abc: 5.857 4.961 5.857
angles: 90.00 90.00 90.00
Last column: magnetic moment on the atom in μB.
Atoms (fractional coordinates):
Ca: 0.000 0.000 0.500  0.00
Ca: 0.500 0.000 0.000  0.03
Sb: 0.000 0.000 0.000  -0.02
Ag: 0.500 0.500 0.500  0.02
Re: 0.000 0.500 0.000  1.57

---

A relaxed PuSi2Ir crystal. Source: Alexandria, functional GGA-PBE.

Properties
- Density of states at the Fermi level: 2.77 states/eV/atom
- Raw formation energy: -0.708 eV/atom

abc: 4.214 8.593 9.266
angles: 117.63 103.14 90.00
Last column: magnetic moment on the atom in μB.
Atoms (fractional coordinates):
Ir: 0.854 0.102 0.709  0.04
Ir: 0.854 0.607 0.709  0.04
Ir: 0.146 0.393 0.291  0.04
Ir: 0.146 0.898 0.291  0.04
Pu: 0.500 0.744 0.000  5.03
Pu: 0.294 0.294 0.588  -4.84
Pu: 0.500 0.256 0.000  5.03
Pu: 0.706 0.706 0.412  -4.84
Si: 0.926 0.426 0.852  -0.02
Si: 0.701 0.048 0.401  0.02
Si: 0.925 0.925 0.850  -0.01
Si: 0.701 0.353 0.401  0.02
Si: 0.299 0.952 0.599  0.02
Si: 0.299 0.647 0.599  0.02
Si: 0.075 0.075 0.150  -0.01
Si: 0.074 0.574 0.148  -0.02

---

A relaxed BaLa2Fe crystal. Source: Alexandria, functional GGA-PBE.

Properties
- Density of states at the Fermi level: 1.26 states/eV/atom
- Distance to the lowest polymorph of the same formula: 172.2 meV/atom
- DFT formation energy: 32.29 kJ/mol of atoms

abc: 7.079 7.079 7.079
angles: 149.37 132.83 57.30
Last column: magnetic moment on the atom in μB.
Atoms (fractional coordinates):
Ba: 0.440 0.440 0.000  -0.02
Fe: 0.217 0.717 0.500  0.98
La: 0.087 0.087 0.000  -0.12
La: 0.757 0.257 0.500  -0.06

---

> What is the formula in the fourth record?

Ca2ReAgSb

---

Repeat the fourth record exactly.
A relaxed Ca2ReAgSb crystal. Source: Alexandria, functional GGA-PBE.

Properties
- Density of states at the Fermi level: 0.95 states/eV/atom
- Raw formation energy: 0.736 eV/atom

abc: 5.857 4.961 5.857
angles: 90.00 90.00 90.00
Last column: magnetic moment on the atom in μB.
Atoms (fractional coordinates):
Ca: 0.000 0.000 0.500  0.00
Ca: 0.500 0.000 0.000  0.03
Sb: 0.000 0.000 0.000  -0.02
Ag: 0.500 0.500 0.500  0.02
Re: 0.000 0.500 0.000  1.57